# 1
5
Lattice="-0.644 0.899 3.489 -4.446 -2.100 -0.279 1.933 -4.287 1.462" Properties=species:S:1:pos:R:3 comment="SCAN TlIrS2N, single point on PBEsol structure" formation_energy_uncorrected_ev_per_atom=0.30 relative_energy_mev_per_atom=0 pbc="T T T"
Ir 0.000 0.000 0.000
S 0.966 -2.144 0.731
S -2.223 -1.050 -0.140
N -0.322 0.450 1.744
Tl -1.579 -2.744 2.336

# 2
5
Lattice="3.665 0.000 0.000 0.000 3.665 0.000 0.000 0.000 4.884" Properties=species:S:1:pos:R:3 comment="SCAN ZnIrSN2, single point on PBEsol structure" formation_energy_uncorrected_ev_per_atom=1.88 pbc="T T T"
N 1.832 0.000 0.000
N 0.000 1.832 0.000
Zn 0.000 0.000 0.000
Ir 1.832 1.832 2.442
S 0.000 0.000 2.442

# 3
5
Lattice="4.828 0.000 0.000 0.000 4.828 0.000 0.000 0.000 5.218" Properties=species:S:1:pos:R:3 comment="SCAN SiSbIr2N, single point on PBEsol structure" formation_energy_uncorrected_ev_per_atom=2.75 pbc="T T T"
Ir 2.414 0.000 0.000
Ir 0.000 2.414 0.000
N 2.414 2.414 2.609
Si 0.000 0.000 2.609
Sb 0.000 0.000 0.000

# 4
5
Lattice="4.477 0.000 0.000 0.000 4.582 0.000 0.000 0.000 4.582" Properties=species:S:1:pos:R:3 comment="SCAN Sb2TeIrN, single point on PBEsol structure" formation_energy_uncorrected_ev_per_atom=0.97 pbc="T T T"
N 0.000 0.000 0.000
Ir 2.238 2.291 2.291
Sb 0.000 2.291 0.000
Sb 0.000 0.000 2.291
Te 2.238 0.000 0.000

# 5
5
Lattice="-3.546 -1.961 -2.038 1.907 -4.458 0.972 -2.423 -0.097 4.310" Properties=species:S:1:pos:R:3 comment="SCAN Sc2TcIrN, single point on PBEsol structure" formation_energy_uncorrected_ev_per_atom=1.04 pbc="T T T"
Ir 0.000 0.000 0.000
N -2.031 -3.258 1.622
Sc 0.954 -2.229 0.486
Sc -1.212 -0.049 2.155
Tc -1.773 -0.981 -1.019

# 6
8
Lattice="-4.474 -0.828 1.251 1.297 -4.112 1.917 2.486 5.047 3.335" Properties=species:S:1:pos:R:3 comment="SCAN Ir2SeN, single point on PBEsol structure" formation_energy_uncorrected_ev_per_atom=0.42 pbc="T T T"
Ir 1.589 2.782 3.077
Ir -0.243 1.084 4.301
Ir -0.341 -2.724 3.098
Ir -2.386 -0.927 2.530
Se 0.000 0.000 0.000
Se 1.098 -0.767 3.418
N -1.788 0.874 3.085
N -1.588 -2.470 1.584